DFT (GGA-PBE) results for an optimized crystal structure of YAlTeI2.

abc: 6.0130 6.0130 5.9291
angles: 90.00 90.00 90.00
Fractional positions:
I 0.0000 0.5000 0.0000
I 0.5000 0.0000 0.0000
Y 0.0000 0.0000 0.0000
Te 0.0000 0.0000 0.5000
Al 0.5000 0.5000 0.5000

Summary:
space-group type	P4/mmm (123)
uncorrected formation energy	-2.7	eV per formula unit
volume	42.87	Å³/atom

---

DFT (GGA-PBE) results for an optimized crystal structure of Pm3Sm4Th2.

abc: 7.1491 8.5595 13.6498
angles: 89.72 130.87 77.95
Fractional positions:
Pm 0.1311 0.8287 0.2697
Pm 0.4776 0.8314 0.9481
Pm 0.8689 0.1713 0.7303
Pm 0.5224 0.1686 0.0519
Pm 0.2495 0.4974 0.4945
Pm 0.7505 0.5026 0.5055
Sm 0.6211 0.8317 0.2634
Sm 0.9701 0.8343 0.9424
Sm 0.3789 0.1683 0.7366
Sm 0.0299 0.1657 0.0576
Sm 0.9576 0.1587 0.3931
Sm 0.6652 0.5249 0.8369
Sm 0.0424 0.8413 0.6069
Sm 0.3348 0.4751 0.1631
Th 0.4439 0.1602 0.3901
Th 0.1688 0.5267 0.8401
Th 0.5561 0.8398 0.6099
Th 0.8312 0.4733 0.1599

Summary:
space-group type	P-1 (2)
electronic total energy	-94.85	eV/cell
Fermi-level density of states	25.31	states/eV/cell
volume	33.68	Å³/atom

---

DFT (GGA-PBE) results for an optimized crystal structure of Cd2SbAu.

abc: 2.9578 5.5768 5.5916
angles: 90.00 90.00 90.00
Fractional positions:
Sb 0.5000 0.0000 0.5000
Au 0.0000 0.5000 0.5000
Cd 0.0000 0.0000 0.0000
Cd 0.5000 0.5000 0.0000

Summary:
space-group type	Pmmm (47)
Fermi-level density of states	1.54	states/eV/cell
uncorrected formation energy	0.2	eV per formula unit
volume	23.06	Å³/atom

---

DFT (GGA-PBE) results for an optimized crystal structure of PtRh2Pb.

abc: 3.9195 4.1259 4.1254
angles: 90.00 90.00 90.00
Fractional positions:
Pt 0.5000 0.5000 0.1250
Rh 0.0000 0.0000 0.1250
Rh 0.0000 0.5000 0.6250
Pb 0.5000 0.0000 0.6250

Summary:
space-group type	P4/mmm (123)
electronic total energy	-24.52	eV/cell
Fermi-level density of states	3.46	states/eV/cell
volume	16.68	Å³/atom

---

DFT (GGA-PBE) results for an optimized crystal structure of Be2NbRh.

abc: 3.6648 3.6648 8.8348
angles: 78.03 78.03 90.00
Fractional positions:
Be 0.6831 0.1250 0.2500
Be 0.0669 0.6250 0.2500
Be 0.3750 0.3169 0.7500
Be 0.8750 0.9331 0.7500
Nb 0.5000 0.5000 0.0000
Nb 0.2500 0.7500 0.5000
Rh 0.0000 0.0000 0.0000
Rh 0.7500 0.2500 0.5000

Summary:
space-group type	I-42d (122)
electronic total energy	-47.28	eV/cell
Fermi-level density of states	6.09	states/eV/cell
volume	14.18	Å³/atom

---

DFT (GGA-PBE) results for an optimized crystal structure of AcCeLu2.

abc: 5.7561 5.7561 5.7561
angles: 60.00 60.00 60.00
Fractional positions:
Ac 0.5000 0.5000 0.5000
Lu 0.2500 0.2500 0.2500
Lu 0.7500 0.7500 0.7500
Ce 0.0000 0.0000 0.0000

Summary:
space-group type	Fm-3m (225)
electronic total energy	-18.47	eV/cell
Fermi-level density of states	8.14	states/eV/cell
volume	33.71	Å³/atom

---

DFT (GGA-PBE) results for an optimized crystal structure of CoCu2Au.

abc: 3.6277 3.6277 9.3233
angles: 78.78 78.78 90.00
Fractional positions:
Co 0.5000 0.5000 0.0000
Co 0.2500 0.7500 0.5000
Au 0.0000 0.0000 0.0000
Au 0.7500 0.2500 0.5000
Cu 0.6131 0.1250 0.2500
Cu 0.1369 0.6250 0.2500
Cu 0.3750 0.3869 0.7500
Cu 0.8750 0.8631 0.7500

Summary:
space-group type	I-42d (122)
electronic total energy	-33.54	eV/cell
Fermi-level density of states	12.29	states/eV/cell
volume	14.74	Å³/atom

---

DFT (GGA-PBE) results for an optimized crystal structure of CrOs2Au.

abc: 3.8734 3.8734 3.8906
angles: 90.00 90.00 90.00
Fractional positions:
Au 0.5000 0.0000 0.5000
Cr 0.0000 0.5000 0.5000
Os 0.0000 0.0000 0.0000
Os 0.5000 0.5000 0.0000

Summary:
space-group type	P4/mmm (123)
electronic total energy	-33.64	eV/cell
Fermi-level density of states	4.09	states/eV/cell
volume	14.59	Å³/atom

---

DFT (GGA-PBE) results for an optimized crystal structure of CsNa2Bi6.

abc: 5.2060 9.1982 9.1982
angles: 56.99 74.97 74.97
Fractional positions:
Cs 0.0000 0.0000 0.0000
Na 0.1012 0.3918 0.3918
Na 0.8988 0.6082 0.6082
Bi 0.2962 0.0063 0.3951
Bi 0.7038 0.9937 0.6049
Bi 0.7038 0.6049 0.9937
Bi 0.5000 0.3225 0.6775
Bi 0.5000 0.6775 0.3225
Bi 0.2962 0.3951 0.0063

Summary:
space-group type	C2/m (12)
electronic total energy	-28.24	eV/cell
Fermi-level density of states	4.82	states/eV/cell
volume	39.21	Å³/atom

---

DFT (GGA-PBE) results for an optimized crystal structure of ScHgI3.

abc: 35.0185 7.3951 13.1787
angles: 90.00 164.94 90.00
Fractional positions:
I 0.2921 0.9358 0.9397
I 0.7079 0.0642 0.0603
I 0.2079 0.4358 0.5603
I 0.7921 0.5642 0.4397
I 0.3631 0.4110 0.2549
I 0.6369 0.5890 0.7451
I 0.1369 0.9110 0.2451
I 0.8631 0.0890 0.7549
I 0.4386 0.8685 0.6098
I 0.5614 0.1315 0.3902
I 0.0614 0.3685 0.8902
I 0.9386 0.6315 0.1098
Sc 0.5245 0.7350 0.6506
Sc 0.4755 0.2650 0.3494
Sc 0.9755 0.2350 0.8494
Sc 0.0245 0.7650 0.1506
Hg 0.9798 0.1692 0.3646
Hg 0.0202 0.8308 0.6354
Hg 0.5202 0.6692 0.1354
Hg 0.4798 0.3308 0.8646

Summary:
space-group type	P2_1/c (14)
Fermi-level density of states	0.00	states/eV/cell
uncorrected formation energy	-4.5	eV per formula unit
volume	44.35	Å³/atom

---

DFT (GGA-PBE) results for an optimized crystal structure of Ho2Np2Se7.

abc: 4.8090 4.8090 13.5516
angles: 90.00 90.00 90.00
Fractional positions:
Ho 0.5000 0.0000 0.8615
Ho 0.0000 0.5000 0.1385
Np 0.5000 0.0000 0.3757
Np 0.0000 0.5000 0.6243
Se 0.5000 0.5000 0.0000
Se 0.0000 0.0000 0.2366
Se 0.5000 0.5000 0.2580
Se 0.0000 0.0000 0.5000
Se 0.5000 0.5000 0.5000
Se 0.0000 0.0000 0.7634
Se 0.5000 0.5000 0.7420

Summary:
space-group type	P-4m2 (115)
Fermi-level density of states	23.59	states/eV/cell
uncorrected formation energy	-14.1	eV per formula unit
volume	28.49	Å³/atom

---

DFT (GGA-PBE) results for an optimized crystal structure of Pr2TaS5.

abc: 6.9546 6.9546 6.2799
angles: 123.63 123.63 90.01
Fractional positions:
Pr 0.2860 0.7858 0.5715
Pr 0.7858 0.2859 0.5715
Ta 0.9597 0.9598 0.9195
S 0.7734 0.2571 0.0307
S 0.2572 0.2572 0.0306
S 0.7733 0.7733 0.0304
S 0.2570 0.7733 0.0307
S 0.6846 0.6846 0.3692

Summary:
space-group type	I4mm (107)
Fermi-level density of states	2.67	states/eV/cell
uncorrected formation energy	-10.9	eV per formula unit
volume	23.60	Å³/atom

---

> What is the volume in the eleventh record?

28.49 Å³/atom

---

> Which of these has the highest volume?

ScHgI3

---

> Look up the volume of the fourth one.

16.68 Å³/atom

---

> Look up the volume of the twelfth one.

23.60 Å³/atom